[1]
MnNbFeW | GGA-PBE | relaxed

## Properties
DFT formation energy in eV/atom: 0.045

```
data_MnNbFeW
_chemical_formula_sum 'Mn4 Nb4 Fe4 W4'
_cell_length_a 6.084
_cell_length_b 6.084
_cell_length_c 6.084
_cell_angle_alpha 90.00
_cell_angle_beta 90.00
_cell_angle_gamma 90.00
_symmetry_space_group_name_H-M 'F -4 3 m'
_symmetry_Int_Tables_number 216
_symmetry_space_group_name_Hall 'F -4 2 3'
loop_
_atom_site_label
_atom_site_type_symbol
_atom_site_fract_x
_atom_site_fract_y
_atom_site_fract_z
_atom_site_occupancy
Mn1 Mn 0.000 0.000 0.000 1
Nb1 Nb 0.250 0.250 0.250 1
Fe1 Fe 0.000 0.000 0.500 1
W1 W 0.250 0.250 0.750 1
```


[2]
Tb5Cd2Hg2 | GGA-PBE | relaxed

## Properties
DFT formation energy in eV/atom: -0.275

```
data_Tb5Cd2Hg2
_chemical_formula_sum 'Tb20 Cd8 Hg8'
_cell_length_a 16.806
_cell_length_b 7.262
_cell_length_c 8.317
_cell_angle_alpha 90.00
_cell_angle_beta 90.00
_cell_angle_gamma 90.00
_symmetry_space_group_name_H-M 'C m c e'
_symmetry_Int_Tables_number 64
_symmetry_space_group_name_Hall '-C 2ac 2'
loop_
_atom_site_label
_atom_site_type_symbol
_atom_site_fract_x
_atom_site_fract_y
_atom_site_fract_z
_atom_site_occupancy
Tb1 Tb 0.000 0.000 0.000 1
Tb2 Tb 0.139 0.177 0.318 1
Cd1 Cd 0.216 0.000 0.000 1
Hg1 Hg 0.000 0.113 0.644 1
```


[3]
Gd2LuZn | GGA-PBE | relaxed

## Properties
DFT formation energy in eV/atom: 0.002

```
data_Gd2LuZn
_chemical_formula_sum 'Gd8 Lu4 Zn4'
_cell_length_a 7.525
_cell_length_b 7.525
_cell_length_c 7.525
_cell_angle_alpha 90.00
_cell_angle_beta 90.00
_cell_angle_gamma 90.00
_symmetry_space_group_name_H-M 'F m -3 m'
_symmetry_Int_Tables_number 225
_symmetry_space_group_name_Hall '-F 4 2 3'
loop_
_atom_site_label
_atom_site_type_symbol
_atom_site_fract_x
_atom_site_fract_y
_atom_site_fract_z
_atom_site_occupancy
Gd1 Gd 0.250 0.250 0.250 1
Lu1 Lu 0.000 0.000 0.000 1
Zn1 Zn 0.000 0.000 0.500 1
```


| no. | volume (Å³ per cell) | total magnetization (μB per cell) |
| --- | --- | --- |
| 1 | 225.2 | 6.368 |
| 2 | 1015.1 | 0.000 |
| 3 | 426.0 | 59.278 |